The following is a GGA-PBEsol calculation of a relaxed Ba2Ta6Te2O21 crystal, from Alexandria via LeMat-Bulk.

Structure (POSCAR):
```
Ba2Ta6Te2O21
1.0
5.678 0.000 0.000
-2.839 8.369 0.005
0.000 -1.139 9.544
O Ba Ta Te
21 2 6 2
Cartesian
-1.464 7.002 2.107 O
4.303 0.229 7.442 O
1.367 3.265 3.170 O
1.434 4.834 9.034 O
0.000 0.000 0.000 O
0.000 6.180 6.889 O
2.839 1.691 5.742 O
1.464 7.002 2.107 O
4.106 -0.569 4.772 O
-1.472 3.966 6.379 O
0.000 5.540 3.807 O
1.572 -0.569 4.772 O
4.312 3.265 3.170 O
-1.434 4.834 9.034 O
1.375 0.229 7.442 O
0.000 2.531 8.068 O
1.405 2.397 0.515 O
2.839 4.699 1.481 O
1.472 3.966 6.379 O
2.839 1.050 2.660 O
4.273 2.397 0.515 O
2.839 5.522 4.482 Ba
0.000 1.709 5.067 Ba
0.000 7.628 3.216 Ta
2.839 -0.397 6.333 Ta
2.839 2.755 1.680 Ta
0.000 0.628 8.778 Ta
2.839 6.602 0.771 Ta
0.000 4.475 7.869 Ta
0.000 4.322 2.352 Te
2.839 2.908 7.197 Te
```

Summary:
**Formation energy from raw total energies**: -2.6058 eV/atom
**Total magnetic moment**: 0.00 μB/cell

---

The following is a GGA-PBEsol calculation of a relaxed Ba6Ta9Ti7O42 crystal, from Alexandria via LeMat-Bulk.

Structure (POSCAR):
```
Ba6Ta9Ti7O42
1.0
-8.841 -1.254 1.520
5.668 -7.062 0.228
1.732 1.761 11.539
O Ti Ta Ba
42 7 9 6
Cartesian
1.259 -1.289 0.911 O
-1.206 -5.250 10.055 O
-2.106 -3.482 8.103 O
0.950 -0.075 11.013 O
4.938 -5.185 3.046 O
-2.252 -0.730 7.704 O
0.144 -3.597 1.748 O
0.650 -3.120 5.204 O
3.007 -5.210 7.601 O
2.438 -0.106 8.685 O
-1.572 -2.932 11.560 O
3.472 -4.690 11.037 O
-4.004 -1.698 11.703 O
2.805 -2.042 10.744 O
-4.971 -1.875 2.214 O
-1.798 -5.887 6.273 O
-2.301 -2.618 1.965 O
-3.305 -5.898 8.335 O
0.351 -0.677 6.988 O
-5.446 0.622 11.874 O
-4.406 -1.350 5.698 O
-1.808 -2.136 5.423 O
2.593 -4.902 1.540 O
-4.553 -2.184 8.274 O
-2.408 -6.516 2.249 O
0.873 -3.911 11.343 O
0.349 -4.464 7.884 O
-1.760 -0.215 11.150 O
0.297 -6.334 2.162 O
-1.642 -0.128 1.169 O
-0.215 -1.256 3.233 O
-1.062 0.488 5.204 O
-0.485 1.064 8.945 O
-3.737 -3.980 5.997 O
6.114 -4.005 10.845 O
3.081 -4.347 5.032 O
-6.605 -0.565 4.074 O
-0.417 -7.054 8.078 O
0.848 -5.815 5.589 O
1.884 -0.691 4.942 O
-4.222 -4.525 2.564 O
2.277 -2.543 7.301 O
2.402 -0.672 6.928 Ti
-4.364 -6.422 2.729 Ti
-0.877 -7.817 2.418 Ti
-0.607 -1.854 1.512 Ti
-1.373 -5.268 8.260 Ti
-0.809 -4.648 11.809 Ti
-1.115 0.736 7.241 Ti
-0.077 -1.332 5.128 Ta
-0.315 -7.289 6.056 Ta
5.090 -5.752 11.067 Ta
-3.848 -5.875 6.370 Ta
1.712 -4.238 6.509 Ta
-3.131 -2.300 6.940 Ta
0.820 -5.115 0.704 Ta
-3.982 -3.193 1.132 Ta
-5.880 -1.361 12.043 Ta
1.663 -6.434 9.774 Ba
-4.104 -4.126 10.287 Ba
-0.008 -2.104 9.372 Ba
-1.471 -4.530 3.848 Ba
-6.113 -3.686 4.418 Ba
2.501 -7.133 3.651 Ba
```

Summary:
**Formation energy from raw total energies**: -3.0492 eV/atom
**Total magnetic moment**: 0.00 μB/cell

---

The following is a GGA-PBEsol calculation of a relaxed Ba3Ta4Ti4O21 crystal, from Alexandria via LeMat-Bulk.

Structure (POSCAR):
```
Ba3Ta4Ti4O21
1.0
-2.470 -7.165 -4.913
5.446 -7.187 -0.510
-5.261 -4.648 9.436
O Ba Ta Ti
42 6 8 8
Cartesian
-2.581 -12.236 1.343 O
-1.891 -15.064 4.681 O
-1.093 -8.765 3.840 O
-1.872 -6.264 4.691 O
-2.143 -8.332 -1.640 O
1.311 -8.405 5.019 O
1.243 -11.260 0.957 O
-3.445 -7.630 7.541 O
-0.092 -6.436 -1.785 O
-2.999 -17.204 3.425 O
1.230 -14.885 -0.404 O
-4.147 -13.576 4.140 O
2.799 -9.920 -1.846 O
-2.193 -12.565 5.798 O
-1.686 -7.789 1.043 O
-0.142 -10.669 5.654 O
-5.339 -12.095 2.084 O
-3.515 -4.116 4.417 O
-0.599 -11.212 2.970 O
-0.394 -3.937 -0.668 O
0.296 -6.765 2.670 O
1.160 -11.371 -3.528 O
0.715 -1.796 0.588 O
-3.528 -7.741 3.056 O
-5.910 -9.213 3.125 O
-0.413 -12.737 -0.678 O
-1.192 -10.236 0.174 O
-5.084 -9.081 5.859 O
0.375 -8.883 -2.669 O
-2.660 -10.118 6.682 O
3.626 -9.788 0.888 O
0.076 -12.937 7.217 O
3.055 -6.906 1.930 O
-0.294 -13.698 1.844 O
1.862 -5.425 -0.127 O
-3.596 -10.595 -1.006 O
-2.360 -6.064 -3.204 O
-5.711 -11.473 4.734 O
1.572 -9.162 2.604 O
3.426 -7.528 -0.721 O
-1.991 -5.303 2.169 O
-3.857 -9.839 1.409 O
-2.756 -5.465 -0.568 Ba
-1.568 -11.199 -2.734 Ba
-3.174 -10.661 3.967 Ba
-0.717 -7.802 6.747 Ba
0.472 -13.536 4.581 Ba
0.889 -8.340 0.046 Ba
-0.616 -11.880 1.123 Ta
1.990 -7.368 3.446 Ta
-1.669 -7.120 2.891 Ta
-4.275 -11.633 0.568 Ta
-3.310 -14.204 5.806 Ta
4.354 -9.326 -0.814 Ta
-6.639 -9.675 4.827 Ta
1.025 -4.796 -1.793 Ta
0.362 -9.955 4.031 Ti
-5.887 -13.139 3.528 Ti
3.602 -5.862 0.485 Ti
-1.258 -11.382 6.936 Ti
2.683 -10.831 2.113 Ti
-2.647 -9.046 -0.017 Ti
-1.027 -7.619 -2.923 Ti
-4.968 -8.170 1.900 Ti
```

Summary:
**Formation energy from raw total energies**: -3.0604 eV/atom
**Total magnetic moment**: 0.00 μB/cell

---

The following is a GGA-PBEsol calculation of a relaxed Ba4Ta2TiZnO12 crystal, from Alexandria via LeMat-Bulk.

Structure (POSCAR):
```
Ba4Ta2TiZnO12
1.0
5.733 0.000 0.000
0.000 5.733 0.000
0.000 0.000 8.134
Ba O Zn Ta Ti
4 12 1 2 1
Cartesian
0.000 2.866 2.104 Ba
0.000 2.866 6.030 Ba
2.866 0.000 6.030 Ba
2.866 0.000 2.104 Ba
1.447 1.447 0.000 O
4.251 4.251 4.067 O
4.286 1.447 0.000 O
4.286 4.286 0.000 O
4.251 1.481 4.067 O
2.866 2.866 6.144 O
0.000 0.000 1.938 O
1.447 4.286 0.000 O
1.481 4.251 4.067 O
0.000 0.000 6.196 O
1.481 1.481 4.067 O
2.866 2.866 1.990 O
0.000 0.000 4.067 Zn
2.866 2.866 4.067 Ta
0.000 0.000 0.000 Ta
2.866 2.866 0.000 Ti
```

Summary:
**Formation energy from raw total energies**: -2.9037 eV/atom
**Total magnetic moment**: 0.00 μB/cell

---

The following is a GGA-PBEsol calculation of a relaxed Ba4Ta2TiZnO12 crystal, from Alexandria via LeMat-Bulk.

Structure (POSCAR):
```
Ba4Ta2TiZnO12
1.0
8.097 0.000 0.000
0.000 8.097 0.000
-4.048 -4.048 8.168
O Ba Ta Zn Ti
24 8 4 2 2
Cartesian
4.048 2.005 4.029 O
6.004 0.000 0.079 O
4.048 1.956 8.089 O
4.048 4.048 5.986 O
4.048 0.000 6.052 O
0.000 4.048 6.265 O
4.048 2.044 0.055 O
4.048 6.092 4.029 O
4.048 0.000 2.116 O
2.093 4.048 4.005 O
4.048 6.053 0.055 O
6.004 4.048 4.005 O
0.000 4.048 1.902 O
4.048 -1.956 8.089 O
2.093 0.000 0.079 O
0.000 -1.956 4.162 O
4.048 4.048 1.968 O
-2.044 0.000 4.139 O
0.000 0.000 6.200 O
2.005 0.000 8.113 O
0.000 1.956 4.162 O
0.000 0.000 2.182 O
2.044 0.000 4.139 O
-2.005 0.000 8.113 O
-2.024 -2.082 6.126 Ba
2.024 -2.082 6.126 Ba
1.966 2.024 2.042 Ba
2.024 2.082 6.126 Ba
6.130 2.024 2.042 Ba
1.966 6.073 2.042 Ba
6.130 6.073 2.042 Ba
-2.024 2.082 6.126 Ba
4.048 4.048 4.057 Ta
0.000 0.000 4.111 Ta
4.048 0.000 0.027 Ta
4.048 0.000 8.141 Ta
0.000 0.000 0.000 Zn
0.000 4.048 4.084 Zn
4.048 0.000 4.084 Ti
4.048 4.048 0.000 Ti
```

Summary:
**Formation energy from raw total energies**: -2.9128 eV/atom
**Total magnetic moment**: 0.00 μB/cell

---

The following is a GGA-PBEsol calculation of a relaxed Ba3Ta2ZnO9 crystal, from Alexandria via LeMat-Bulk.

Structure (POSCAR):
```
Ba3Ta2ZnO9
1.0
5.772 0.000 0.000
-2.886 4.999 0.000
0.000 0.000 7.103
Ba O Ta Zn
3 9 2 1
Cartesian
0.000 0.000 0.000 Ba
0.000 3.333 4.693 Ba
2.886 1.666 2.409 Ba
1.443 2.499 0.000 O
4.285 0.859 4.803 O
2.886 0.000 0.000 O
0.000 1.717 2.300 O
-1.399 4.140 2.300 O
-1.443 2.499 0.000 O
1.487 0.859 4.803 O
1.399 4.140 2.300 O
2.886 3.281 4.803 O
2.886 1.666 5.861 Ta
0.000 3.333 1.241 Ta
0.000 0.000 3.551 Zn
```

Summary:
**Formation energy from raw total energies**: -2.8450 eV/atom
**Total magnetic moment**: 0.00 μB/cell

---

The following is a GGA-PBEsol calculation of a relaxed Ba3ZrTa4O15 crystal, from Alexandria via LeMat-Bulk.

Structure (POSCAR):
```
Ba3ZrTa4O15
1.0
3.996 0.000 0.000
0.000 12.697 0.000
0.000 0.000 12.697
O Ta Ba Zr
30 8 6 2
Cartesian
3.507 6.485 2.088 O
3.508 11.864 10.944 O
1.510 1.051 10.105 O
3.507 8.436 0.136 O
3.507 4.261 12.561 O
3.508 10.944 0.833 O
1.509 0.000 6.348 O
3.507 12.561 8.436 O
3.508 1.753 11.864 O
1.510 11.646 2.592 O
3.508 4.596 5.515 O
1.510 2.592 1.051 O
3.507 2.088 6.212 O
3.508 3.585 2.764 O
1.510 10.105 11.646 O
1.510 7.400 8.940 O
3.507 10.609 6.485 O
3.507 6.212 10.609 O
3.508 9.112 9.933 O
3.507 0.136 4.261 O
3.508 0.833 1.753 O
3.508 2.764 9.112 O
3.508 7.182 4.596 O
1.509 6.348 0.000 O
3.508 9.933 3.585 O
1.510 5.297 3.757 O
1.510 8.940 5.297 O
3.508 8.101 7.182 O
1.510 3.757 7.400 O
3.508 5.515 8.101 O
3.508 0.959 9.993 Ta
3.508 3.645 7.308 Ta
3.508 2.704 0.959 Ta
3.508 11.738 2.704 Ta
3.508 9.993 11.738 Ta
3.508 7.308 9.052 Ta
3.508 5.389 3.645 Ta
3.508 9.052 5.389 Ta
1.510 10.551 8.494 Ba
1.510 2.146 4.203 Ba
1.510 8.494 2.146 Ba
1.510 4.203 10.551 Ba
1.510 6.348 6.348 Ba
1.510 0.000 0.000 Ba
3.507 0.000 6.348 Zr
3.507 6.348 0.000 Zr
```

Summary:
**Formation energy from raw total energies**: -3.0679 eV/atom
**Total magnetic moment**: 0.00 μB/cell

---

The following is a GGA-PBEsol calculation of a relaxed BaTb2O4 crystal, from Alexandria via LeMat-Bulk.

Structure (POSCAR):
```
BaTb2O4
1.0
3.463 0.000 0.000
0.000 10.373 0.000
0.000 0.000 12.085
Ba Tb O
4 8 16
Cartesian
0.866 7.803 7.845 Ba
0.866 2.617 10.283 Ba
2.597 2.569 4.240 Ba
2.597 7.756 1.803 Ba
2.597 0.798 7.370 Tb
2.597 0.789 1.339 Tb
0.866 4.398 7.382 Tb
2.597 5.975 4.704 Tb
0.866 9.584 10.746 Tb
2.597 5.984 10.758 Tb
0.866 4.389 1.327 Tb
0.866 9.575 4.715 Tb
2.597 0.718 11.178 O
2.597 9.159 6.255 O
0.866 1.214 5.830 O
0.866 7.370 4.092 O
2.597 5.905 6.950 O
0.866 5.368 9.454 O
2.597 3.003 7.993 O
0.866 0.182 8.674 O
0.866 4.468 5.136 O
0.866 9.655 0.907 O
2.597 10.191 3.412 O
2.597 5.005 2.631 O
2.597 3.973 11.873 O
0.866 2.183 1.950 O
0.866 6.400 0.212 O
2.597 8.190 10.135 O
```

Summary:
**Formation energy from raw total energies**: -3.3174 eV/atom
**Total magnetic moment**: 0.00 μB/cell